(1)
## KSrTbSbO6 (PBE-GGA)

Data for a relaxed KSrTbSbO6 crystal.

Unit cell a=5.987 b=5.987 c=5.987 alpha=60.00 beta=60.00 gamma=60.00
Last column: magnetic moment on the atom in μB.
Fractional positions:
O (0.764, 0.764, 0.236)  0.14
Sr (0.250, 0.250, 0.250)  -0.01
Tb (0.500, 0.500, 0.500)  -0.03
O (0.764, 0.236, 0.236)  0.14
O (0.236, 0.764, 0.764)  0.14
O (0.236, 0.764, 0.236)  0.14
K (0.750, 0.750, 0.750)  0.00
O (0.236, 0.236, 0.764)  0.14
Sb (0.000, 0.000, 0.000)  -0.02
O (0.764, 0.236, 0.764)  0.14

Calculated values
ΔE_f (raw)   -2235 meV/atom
SG   F-43m (216)
Crystal system   cubic

---

(2)
## KTaSb2O8 (PBE-GGA)

Data for a relaxed KTaSb2O8 crystal.

Unit cell a=4.947 b=4.943 c=6.526 alpha=90.00 beta=90.00 gamma=86.35
Fractional positions:
O (0.211, 0.788, 0.796)
Sb (0.500, 0.500, 0.251)
Ta (0.000, 0.000, 0.000)
O (0.668, 0.671, 0.500)
O (0.211, 0.788, 0.204)
O (0.789, 0.212, 0.204)
K (0.000, 0.000, 0.500)
O (0.697, 0.698, 0.000)
O (0.332, 0.329, 0.500)
O (0.303, 0.302, 0.000)
Sb (0.500, 0.500, 0.749)
O (0.789, 0.212, 0.796)

Calculated values
ΔE_f (raw)   -1708 meV/atom
SG   P2/m (10)
Crystal system   monoclinic

---

(3)
## KTaSbO5 (PBE-GGA)

Data for a relaxed KTaSbO5 crystal.

Unit cell a=6.192 b=6.192 c=7.764 alpha=104.94 beta=104.94 gamma=106.14
Fractional positions:
O (0.281, 0.898, 0.589)
O (0.227, 0.346, 0.595)
Sb (0.310, 0.690, 0.750)
O (0.958, 0.042, 0.750)
O (0.042, 0.958, 0.250)
O (0.773, 0.654, 0.405)
O (0.654, 0.773, 0.905)
O (0.102, 0.719, 0.911)
O (0.719, 0.102, 0.411)
K (0.678, 0.322, 0.750)
O (0.346, 0.227, 0.095)
Ta (0.000, 0.000, 0.000)
Ta (0.000, 0.000, 0.500)
O (0.898, 0.281, 0.089)
K (0.322, 0.678, 0.250)
Sb (0.690, 0.310, 0.250)

Calculated values
ΔE_f (raw)   -2025 meV/atom
SG   C2/c (15)
Crystal system   monoclinic

---

(4)
## KTaSbO6 (PBE-GGA)

Data for a relaxed KTaSbO6 crystal.

Unit cell a=5.496 b=5.496 c=11.595 alpha=90.00 beta=90.00 gamma=120.00
Last column: magnetic moment on the atom in μB.
Fractional positions:
Ta (0.333, 0.667, 0.750)  -0.04
O (0.999, 0.600, 0.345)  0.15
K (0.000, 0.000, 0.000)  0.00
O (0.400, 0.001, 0.155)  0.15
O (0.999, 0.400, 0.155)  0.15
O (0.400, 0.400, 0.345)  0.15
Sb (0.333, 0.667, 0.250)  -0.01
O (0.400, 0.999, 0.655)  0.15
O (0.001, 0.600, 0.845)  0.15
O (0.600, 0.600, 0.655)  0.15
O (0.001, 0.400, 0.655)  0.15
K (0.000, 0.000, 0.500)  0.00
O (0.600, 0.600, 0.155)  0.15
Sb (0.667, 0.333, 0.750)  -0.01
O (0.400, 0.400, 0.845)  0.15
O (0.600, 0.001, 0.345)  0.15
Ta (0.667, 0.333, 0.250)  -0.04
O (0.600, 0.999, 0.845)  0.15

Calculated values
ΔE_f (raw)   -1859 meV/atom
SG   P-31c (163)
Crystal system   trigonal